Here is an optimized crystal structure of BaBeHgO2 from Alexandria via LeMat-Bulk. Energies are from PBE.

abc: 4.715 4.314 4.715
angles: 90.00 90.00 90.00
Element x y z (fractional)
Hg 0.000 0.000 0.000
O 0.500 0.000 0.000
Be 0.000 0.500 0.000
Ba 0.500 0.500 0.500
O 0.000 0.000 0.500

Results
space group: No. 123
uncorrected energy: -3.50 eV per atom

---

Here is an optimized crystal structure of BaBeHg2Pd from Alexandria via LeMat-Bulk. Energies are from PBE.

abc: 4.889 4.889 4.928
angles: 90.00 90.00 90.00
Element x y z (fractional)
Hg 0.000 0.500 0.000
Pd 0.000 0.000 0.500
Be 0.000 0.000 0.000
Hg 0.500 0.000 0.000
Ba 0.500 0.500 0.500

Results
space group: No. 123
uncorrected energy: -2.50 eV per atom

---

Here is an optimized crystal structure of BaBe2ReHg from Alexandria via LeMat-Bulk. Energies are from PBE.

abc: 5.949 5.943 5.949
angles: 90.00 90.00 90.00
Site moments in Bohr magnetons follow the coordinates.
Element x y z (fractional)
Be 0.000 0.000 0.500  -0.01
Ba 0.000 0.000 0.000  -0.09
Hg 0.500 0.500 0.500  0.01
Re 0.000 0.500 0.000  3.12
Be 0.500 0.000 0.000  -0.06

Results
space group: No. 123
uncorrected energy: -1.84 eV per atom

---

Here is an optimized crystal structure of BaBeSn2Hg from Alexandria via LeMat-Bulk. Energies are from PBE.

abc: 5.540 6.430 5.540
angles: 90.00 90.00 90.00
Element x y z (fractional)
Be 0.500 0.500 0.500
Sn 0.500 0.000 0.000
Sn 0.000 0.000 0.500
Ba 0.000 0.500 0.000
Hg 0.000 0.000 0.000

Results
space group: No. 123
uncorrected energy: -2.10 eV per atom

---

Here is an optimized crystal structure of Ba2TaBeHg from Alexandria via LeMat-Bulk. Energies are from PBE.

abc: 6.148 4.644 6.148
angles: 90.00 90.00 90.00
Element x y z (fractional)
Ta 0.000 0.000 0.000
Ba 0.000 0.000 0.500
Ba 0.500 0.000 0.000
Be 0.000 0.500 0.000
Hg 0.500 0.500 0.500

Results
space group: No. 123
uncorrected energy: -3.11 eV per atom

---

Here is an optimized crystal structure of BaBeTlHg2 from Alexandria via LeMat-Bulk. Energies are from PBE.

abc: 5.124 5.124 5.162
angles: 90.00 90.00 90.00
Element x y z (fractional)
Tl 0.000 0.000 0.500
Hg 0.000 0.500 0.000
Hg 0.500 0.000 0.000
Be 0.000 0.000 0.000
Ba 0.500 0.500 0.500

Results
space group: No. 123
uncorrected energy: -1.81 eV per atom

---

Here is an optimized crystal structure of BaBeHgW2 from Alexandria via LeMat-Bulk. Energies are from PBE.

abc: 5.317 4.530 5.317
angles: 90.00 90.00 90.00
Site moments in Bohr magnetons follow the coordinates.
Element x y z (fractional)
Hg 0.000 0.000 0.000  0.06
W 0.500 0.000 0.000  1.62
W 0.000 0.000 0.500  2.09
Ba 0.500 0.500 0.500  0.12
Be 0.000 0.500 0.000  -0.06

Results
space group: No. 123
uncorrected energy: -4.36 eV per atom

---

Here is an optimized crystal structure of BaYBe2Hg from Alexandria via LeMat-Bulk. Energies are from PBE.

abc: 4.757 5.727 4.757
angles: 90.00 90.00 90.00
Site moments in Bohr magnetons follow the coordinates.
Element x y z (fractional)
Ba 0.500 0.500 0.500  0.04
Be 0.500 0.000 0.000  0.00
Hg 0.000 0.000 0.000  0.00
Be 0.000 0.000 0.500  0.00
Y 0.000 0.500 0.000  0.08

Results
space group: No. 123
uncorrected energy: -2.67 eV per atom

---

Here is an optimized crystal structure of BaBeZnHg2 from Alexandria via LeMat-Bulk. Energies are from PBE.

abc: 5.047 5.047 4.827
angles: 90.00 90.00 90.00
Element x y z (fractional)
Hg 0.500 0.000 0.000
Ba 0.500 0.500 0.500
Be 0.000 0.000 0.000
Hg 0.000 0.500 0.000
Zn 0.000 0.000 0.500

Results
space group: No. 123
uncorrected energy: -1.59 eV per atom

---

Here is an optimized crystal structure of Ba3HoBe2O6 from Alexandria via LeMat-Bulk. Energies are from PBE.

abc: 5.777 5.777 7.288
angles: 90.00 90.00 120.00
Element x y z (fractional)
Ba 0.667 0.333 0.317
Be 0.667 0.333 0.721
Be 0.333 0.667 0.279
Ba 0.333 0.667 0.683
Ho 0.000 0.000 0.500
O 0.357 0.178 0.691
O 0.178 0.357 0.309
Ba 0.000 0.000 0.000
O 0.822 0.643 0.691
O 0.643 0.822 0.309
O 0.822 0.178 0.691
O 0.178 0.822 0.309

Results
space group: No. 164
uncorrected energy: -6.65 eV per atom

---

Here is an optimized crystal structure of BaBeI3 from Alexandria via LeMat-Bulk. Energies are from PBE.

abc: 5.509 5.509 5.509
angles: 90.00 90.00 90.00
Element x y z (fractional)
Ba 0.500 0.500 0.500
I 0.500 0.000 0.000
I 0.000 0.500 0.000
Be 0.000 0.000 0.000
I 0.000 0.000 0.500

Results
space group: No. 221
distance to the lowest polymorph of the same formula: 0.0000 eV/atom

---

Here is an optimized crystal structure of BaBeI3 from Alexandria via LeMat-Bulk. Energies are from PBE.

abc: 6.785 6.785 6.785
angles: 90.00 90.00 90.00
Site moments in Bohr magnetons follow the coordinates.
Element x y z (fractional)
Ba 0.000 0.000 0.000  0.00
I 0.500 0.000 0.000  0.08
Be 0.500 0.500 0.500  0.18
I 0.000 0.500 0.000  0.14
I 0.000 0.000 0.500  0.09

Results
space group: No. 221
distance to the lowest polymorph of the same formula: 0.5652 eV/atom

---

Here is an optimized crystal structure of Ba2BeI from Alexandria via LeMat-Bulk. Energies are from PBE.

abc: 5.984 5.984 5.984
angles: 60.00 60.00 60.00
Site moments in Bohr magnetons follow the coordinates.
Element x y z (fractional)
Be 0.000 0.000 0.000  0.23
I 0.500 0.500 0.500  0.07
Ba 0.750 0.750 0.750  0.21
Ba 0.250 0.250 0.250  0.21

Results
space group: No. 225
distance to the lowest polymorph of the same formula: 0.0027 eV/atom

---

Here is an optimized crystal structure of Ba2BeI from Alexandria via LeMat-Bulk. Energies are from PBE.

abc: 8.751 8.751 7.789
angles: 55.82 55.82 90.00
Element x y z (fractional)
Ba 0.875 0.839 0.750
Be 0.250 0.750 0.500
Ba 0.375 0.411 0.750
Be 0.500 0.500 0.000
Ba 0.589 0.125 0.250
I 0.750 0.250 0.500
I 0.000 0.000 0.000
Ba 0.161 0.625 0.250

Results
space group: No. 122
distance to the lowest polymorph of the same formula: 0.0000 eV/atom

---

Here is an optimized crystal structure of BaLiBeI2 from Alexandria via LeMat-Bulk. Energies are from PBE.

abc: 5.506 5.667 5.506
angles: 90.00 90.00 90.00
Element x y z (fractional)
I 0.000 0.000 0.500
Be 0.000 0.000 0.000
Ba 0.000 0.500 0.000
I 0.500 0.000 0.000
Li 0.500 0.500 0.500

Results
space group: No. 123
uncorrected energy: -2.17 eV per atom

---

Here is an optimized crystal structure of BaBeIN2 from Alexandria via LeMat-Bulk. Energies are from PBE.

abc: 5.287 5.287 7.039
angles: 90.00 90.00 90.00
Site moments in Bohr magnetons follow the coordinates.
Element x y z (fractional)
Ba 0.000 0.000 0.000  0.06
N 0.000 0.500 0.000  1.43
I 0.000 0.000 0.500  0.10
Be 0.500 0.500 0.500  0.12
N 0.500 0.000 0.000  1.43

Results
space group: No. 123
distance to the lowest polymorph of the same formula: 0.8889 eV/atom

---

Here is an optimized crystal structure of BaBeIN2 from Alexandria via LeMat-Bulk. Energies are from PBE.

abc: 4.479 4.479 4.940
angles: 90.00 90.00 90.00
Site moments in Bohr magnetons follow the coordinates.
Element x y z (fractional)
N 0.000 0.500 0.000  0.99
Ba 0.500 0.500 0.500  0.00
I 0.000 0.000 0.500  0.11
Be 0.000 0.000 0.000  -0.04
N 0.500 0.000 0.000  0.99

Results
space group: No. 123
distance to the lowest polymorph of the same formula: 0.0000 eV/atom

---

Here is an optimized crystal structure of BaBeI2N from Alexandria via LeMat-Bulk. Energies are from PBE.

abc: 6.025 6.025 3.574
angles: 90.00 90.00 90.00
Site moments in Bohr magnetons follow the coordinates.
Element x y z (fractional)
I 0.000 0.500 0.000  0.06
Ba 0.500 0.500 0.500  0.02
Be 0.000 0.000 0.000  -0.03
N 0.000 0.000 0.500  0.68
I 0.500 0.000 0.000  0.06

Results
space group: No. 123
distance to the lowest polymorph of the same formula: 0.0000 eV/atom

---

Here is an optimized crystal structure of BaBeI2N from Alexandria via LeMat-Bulk. Energies are from PBE.

abc: 6.799 6.799 5.422
angles: 90.00 90.00 90.00
Site moments in Bohr magnetons follow the coordinates.
Element x y z (fractional)
I 0.000 0.500 0.000  0.08
Ba 0.000 0.000 0.000  0.02
N 0.000 0.000 0.500  1.49
Be 0.500 0.500 0.500  0.16
I 0.500 0.000 0.000  0.08

Results
space group: No. 123
distance to the lowest polymorph of the same formula: 1.0105 eV/atom

---

Here is an optimized crystal structure of Ba2BeNbI from Alexandria via LeMat-Bulk. Energies are from PBE.

abc: 6.239 5.301 6.239
angles: 90.00 90.00 90.00
Element x y z (fractional)
Nb 0.000 0.000 0.000
Ba 0.000 0.000 0.500
Ba 0.500 0.000 0.000
I 0.000 0.500 0.000
Be 0.500 0.500 0.500

Results
space group: No. 123
uncorrected energy: -3.00 eV per atom